DFT (GGA-PBE) results for a relaxed Sm2GeB2O8 crystal.

Cell lengths 13.7047, 4.4791, 9.5079 Å; angles 90.00, 90.00, 90.00 degrees
Space group Pbcn (No. 60)
Symmetry-distinct sites (fractional):
Sm 0.1406 0.0440 0.0263 x8
Ge 0.0000 0.4205 0.7500 x4
B 0.2003 0.4686 0.2955 x8
O 0.0049 0.2003 0.9010 x8
O 0.1067 0.3479 0.2315 x8
O 0.1923 0.4616 0.4473 x8
O 0.2176 0.2214 0.7396 x8

Energy relative to the elements, uncorrected, kJ/mol of formula units: -3456
E_tot, eV/atom: -7.91